VASP calculation (PBE) on Zr2MnSi after structural relaxation.

Geometry as POSCAR:
```
Zr2MnSi
1.0
3.127 0.000 0.000
0.000 3.127 0.000
0.000 0.000 7.010
Zr Mn Si
2 1 1
Cartesian
0.000 0.000 0.000
1.564 1.564 2.318
0.000 0.000 4.043
1.564 1.564 5.112
```

Values from the calculation:
The calculation puts the density of states at the Fermi level at 5.478 states/eV/f.u.

***

VASP calculation (PBE) on Zr2MnSi after structural relaxation.

Geometry as POSCAR:
```
Zr2MnSi
1.0
3.035 0.000 0.000
0.000 3.035 0.000
0.000 0.000 7.751
Zr Mn Si
2 1 1
Cartesian
0.000 0.000 1.930
0.000 0.000 5.821
1.517 1.517 0.000
1.517 1.517 3.875
```

Values from the calculation:
The calculation puts the density of states at the Fermi level at 3.245 states/eV/f.u.

***

VASP calculation (PBE) on Zr2MnSi after structural relaxation.

Geometry as POSCAR:
```
Zr2MnSi
1.0
-1.950 1.950 4.699
1.950 -1.950 4.699
1.950 1.950 -4.699
Zr Mn Si
2 1 1
Cartesian
0.000 0.000 0.000
0.000 1.950 2.349
1.950 0.000 2.349
0.000 0.000 4.699
```

Values from the calculation:
The calculation puts the density of states at the Fermi level at 3.586 states/eV/f.u.

***

VASP calculation (PBE) on Zr2MnSi after structural relaxation.

Geometry as POSCAR:
```
Zr2MnSi
1.0
3.880 0.000 0.000
0.000 1.828 5.057
0.000 -1.828 5.057
Zr Mn Si
2 1 1
Cartesian
0.000 0.000 0.000
1.940 0.000 2.892
1.940 0.000 5.681
0.000 0.000 7.238
```

Values from the calculation:
The calculation puts the density of states at the Fermi level at 3.661 states/eV/f.u.

***

Calculated spin magnetization (μB/cell), listed in the same order as above: 0.00, 2.39, 2.36, 1.49
Calculated E (eV per atom), listed in the same order as above: -8.1585, -8.1034, -8.1925, -8.4174
Calculated raw formation energy (meV/atom), listed in the same order as above: -236, -181, -270, -495